# 1
Compound: Ce2ZnCrN5
Source: the Alexandria database
Functional: PBE
Structure: optimized geometry

Unit cell a=7.2704 b=7.2704 c=9.3477 alpha=90.00 beta=90.00 gamma=153.88
Sites, in units of the cell vectors:
Ce (0.1259, 0.8741, 0.5000)
Ce (0.1260, 0.8740, 0.9902)
Ce (0.8741, 0.1259, 0.0000)
Ce (0.8740, 0.1260, 0.4902)
Zn (0.4833, 0.5167, 0.7414)
Zn (0.5167, 0.4833, 0.2414)
Cr (0.2472, 0.7528, 0.2459)
Cr (0.7528, 0.2472, 0.7459)
N (0.0945, 0.9055, 0.2493)
N (0.2741, 0.7259, 0.8781)
N (0.2746, 0.7254, 0.6136)
N (0.3687, 0.6313, 0.2484)
N (0.4993, 0.5007, 0.5010)
N (0.5007, 0.4993, 0.0010)
N (0.6313, 0.3687, 0.7484)
N (0.7254, 0.2746, 0.1136)
N (0.7259, 0.2741, 0.3781)
N (0.9055, 0.0945, 0.7493)

Properties
DFT total energy: -7.843 eV per atom
Volume: 12.1 Å³/atom


# 2
Compound: BaHgGe
Source: the Alexandria database
Functional: PBE
Structure: optimized geometry

Unit cell a=4.9314 b=4.2562 c=9.2285 alpha=90.00 beta=98.43 gamma=90.00
Sites, in units of the cell vectors:
Ba (0.0578, 0.0000, 0.2094)
Ba (0.9422, 0.5000, 0.7906)
Hg (0.3393, 0.9982, 0.5825)
Hg (0.6607, 0.4982, 0.4175)
Ge (0.4914, 0.0003, 0.9191)
Ge (0.5086, 0.5003, 0.0809)

Properties
Energy relative to the elements: -461 meV/atom
Volume: 31.9 Å³/atom


# 3
Compound: Pr2TlHg6
Source: the Alexandria database
Functional: PBE
Structure: optimized geometry

Unit cell a=8.8569 b=8.8569 c=3.5287 alpha=90.16 beta=90.16 gamma=60.02
Sites, in units of the cell vectors:
Pr (0.1665, 0.1665, 0.0004)
Pr (0.8335, 0.8335, 0.9996)
Tl (0.5000, 0.5000, 0.0000)
Hg (0.1683, 0.4999, 0.4980)
Hg (0.1684, 0.8316, 0.5000)
Hg (0.4999, 0.1683, 0.4980)
Hg (0.5001, 0.8317, 0.5020)
Hg (0.8316, 0.1684, 0.5000)
Hg (0.8317, 0.5001, 0.5020)

Properties
Energy relative to the elements: -273 meV/atom
Volume: 26.6 Å³/atom
E above lowest polymorph: 0.038 eV per atom


# 4
Compound: Zr2UVC4
Source: the Alexandria database
Functional: PBE
Structure: optimized geometry

Unit cell a=5.9298 b=5.9298 c=11.4898 alpha=90.00 beta=90.00 gamma=147.66
Sites, in units of the cell vectors:
Zr (0.1309, 0.8691, 0.5419)
Zr (0.1309, 0.8691, 0.9581)
Zr (0.8691, 0.1309, 0.0419)
Zr (0.8691, 0.1309, 0.4581)
U (0.3884, 0.6116, 0.7500)
U (0.6116, 0.3884, 0.2500)
V (0.3452, 0.6548, 0.2500)
V (0.6548, 0.3452, 0.7500)
C (0.0512, 0.9488, 0.7500)
C (0.2350, 0.7650, 0.1256)
C (0.2350, 0.7650, 0.3744)
C (0.5000, 0.5000, 0.0000)
C (0.5000, 0.5000, 0.5000)
C (0.7650, 0.2350, 0.6256)
C (0.7650, 0.2350, 0.8744)
C (0.9488, 0.0512, 0.2500)

Properties
Energy relative to the elements: -334 meV/atom
Volume: 13.5 Å³/atom


Number 1: DOS(E_F) 0.24 states/eV/atom. Number 2: DOS(E_F) 0.45 states/eV/atom. Number 3: DOS(E_F) 0.73 states/eV/atom. Number 4: DOS(E_F) 0.76 states/eV/atom.